Entry 1:
## CrSi2Hg (GGA-PBEsol)

Data for CrSi2Hg after structural relaxation.

Summary:
The calculation puts the uncorrected formation energy at 212 meV per atom. The uncorrected energy is -5.36 eV per atom.

Lattice parameters (Å, degrees): 2.9731 2.9731 7.0075 90.00 90.00 90.02
Element x y z (fractional)
Hg: 0.5000 0.5000 0.0000
Cr: 0.5000 0.5000 0.5000
Si: 0.0000 0.0000 0.6768
Si: 0.0000 0.0000 0.3232

---

Entry 2:
## Sc2AlCo3 (GGA-PBEsol)

Data for Sc2AlCo3 after structural relaxation.

Summary:
The uncorrected energy is -7.19 eV per atom. For the formation energy, the calculation gives -0.436 eV/atom.

Lattice parameters (Å, degrees): 4.7630 4.7630 4.7630 63.38 63.38 63.38
Element x y z (fractional)
Co: 0.5000 0.0000 0.0000
Co: 0.0000 0.5000 0.0000
Co: 0.0000 0.0000 0.5000
Al: 0.0000 0.0000 0.0000
Sc: 0.6257 0.6257 0.6257
Sc: 0.3743 0.3743 0.3743

---

Entry 3:
## Sr2AgHg2 (GGA-PBEsol)

Data for Sr2AgHg2 after structural relaxation.

Summary:
The uncorrected energy is -2.00 eV per atom. For the formation energy, the calculation gives -0.376 eV/atom.

Lattice parameters (Å, degrees): 4.5289 7.9690 7.9690 90.00 90.00 90.00
Element x y z (fractional)
Sr: 0.5000 0.1731 0.6731
Sr: 0.5000 0.6731 0.8269
Sr: 0.5000 0.3269 0.1731
Sr: 0.5000 0.8269 0.3269
Ag: 0.0000 0.5000 0.5000
Ag: 0.0000 0.0000 0.0000
Hg: 0.0000 0.8682 0.6318
Hg: 0.0000 0.3682 0.8682
Hg: 0.0000 0.6318 0.1318
Hg: 0.0000 0.1318 0.3682

---

Short version: V = 61.9 82.1 287.6 Å³ per cell, in the order given.